No. 1
First-principles (PBE) data for MgCdAg2 after structural relaxation, as listed in OQMD via LeMat-Bulk.

Geometry as CIF:
```
data_MgCdAg2
_chemical_formula_sum 'Mg1 Cd1 Ag2'
_space_group_name_H-M_alt 'P 4/m m m'
_space_group_IT_number 123
_space_group_name_Hall '-P 4 2'
_cell_length_a 3.398
_cell_length_b 3.398
_cell_length_c 6.531
_cell_angle_alpha 90.00
_cell_angle_beta 90.00
_cell_angle_gamma 90.00
loop_
_atom_site_label
_atom_site_type_symbol
_atom_site_fract_x
_atom_site_fract_y
_atom_site_fract_z
Mg1 Mg 0.000 0.000 0.000
Cd1 Cd 0.000 0.000 0.500
Ag1 Ag 0.500 0.500 0.239
```

Values from the calculation:
The value obtained for the uncorrected energy is -2.20 eV/atom.

No. 2
First-principles (PBE) data for Zr2ZnN after structural relaxation, as listed in OQMD via LeMat-Bulk.

Geometry as CIF:
```
data_Zr2ZnN
_chemical_formula_sum 'Zr4 Zn2 N2'
_space_group_name_H-M_alt 'P 63/m m c'
_space_group_IT_number 194
_space_group_name_Hall '-P 6c 2c'
_cell_length_a 3.2898
_cell_length_b 3.2898
_cell_length_c 14.0233
_cell_angle_alpha 90.00
_cell_angle_beta 90.00
_cell_angle_gamma 120.00
loop_
_atom_site_label
_atom_site_type_symbol
_atom_site_fract_x
_atom_site_fract_y
_atom_site_fract_z
Zr1 Zr 0.3333 0.6667 0.0886
Zn1 Zn 0.3333 0.6667 0.7500
N1 N 0.0000 0.0000 0.0000
```

Values from the calculation:
The value obtained for the uncorrected energy is -7.62 eV/atom. The calculation puts the magnetization at 0.00 Bohr magnetons per cell.

No. 3
First-principles (PBE) data for DyBiN2O after structural relaxation, as listed in OQMD via LeMat-Bulk.

Geometry as CIF:
```
data_DyBiN2O
_chemical_formula_sum 'Dy4 Bi4 N8 O4'
_space_group_name_H-M_alt 'P m c 21'
_space_group_IT_number 26
_cell_length_a 8.036
_cell_length_b 5.793
_cell_length_c 6.024
_cell_angle_alpha 90.00
_cell_angle_beta 90.00
_cell_angle_gamma 90.00
loop_
_space_group_symop_operation_xyz
'x,y,z'
'-x,-y,z+1/2'
'-x,y,z'
'x,-y,z+1/2'
loop_
_atom_site_label
_atom_site_type_symbol
_atom_site_fract_x
_atom_site_fract_y
_atom_site_fract_z
Dy1 Dy 0.000 0.231 0.000
Dy2 Dy 0.500 0.251 0.115
Bi1 Bi 0.253 0.268 0.563
N1 N 0.000 0.380 0.631
N2 N 0.302 0.408 0.893
N3 N 0.500 0.114 0.485
O1 O 0.177 0.057 0.261
```

Values from the calculation:
The value obtained for the uncorrected energy is -6.66 eV/atom. The calculation puts the magnetization at 0.01 Bohr magnetons per cell.

Number 1: calculated volume 75.4 Å³ per cell. Number 2: calculated volume 131.4 Å³ per cell. Number 3: calculated volume 280.4 Å³ per cell.